i | The following is a PBE-GGA calculation of La2TlSe after structural relaxation, from the Alexandria database.

Lattice parameters (Å, degrees): 6.354 6.355 14.186 90.00 116.57 90.00
Space group P2/c (No. 13)
Unique sites:
La: 0.112 0.250 0.113
La: 0.363 0.250 0.863
Tl: 0.375 0.250 0.375
Se: 0.125 0.250 0.625

For the size of the total moment, the calculation gives 0.00 μB/cell. The density is 7.3 Mg/m³.

ii | The following is a PBE-GGA calculation of La2TlSe after structural relaxation, from the Alexandria database.

Lattice parameters (Å, degrees): 7.760 7.760 7.760 90.00 90.00 90.00
Space group Fm-3m (No. 225)
Unique sites:
La: 0.250 0.250 0.250
Tl: 0.000 0.000 0.000
Se: 0.000 0.000 0.500

For the size of the total moment, the calculation gives 0.00 μB/cell. The density is 8.0 Mg/m³.

Bottom line: i, by a margin of 29.4 kJ/mol of atoms.